# La5Ce, optimized geometry, DFT PBE
# energy of formation from the pure elements: 0.04 eV per atom
# electronic total energy: -5.056 eV per atom
# calculated volume: 417 Å³/cell
data_La5Ce
_symmetry_space_group_name_H-M 'C m m m'
_symmetry_Int_Tables_number 65
_symmetry_space_group_name_Hall '-C 2 2'
_cell_length_a 5.158
_cell_length_b 15.659
_cell_length_c 5.161
_cell_angle_alpha 90.00
_cell_angle_beta 90.00
_cell_angle_gamma 90.00
loop_
_atom_site_label
_atom_site_type_symbol
_atom_site_fract_x
_atom_site_fract_y
_atom_site_fract_z
La1 La 0.000 0.000 0.000
La2 La 0.000 0.158 0.500
La3 La 0.000 0.341 0.000
Ce1 Ce 0.000 0.500 0.500